DFT (PBE with a Hubbard U) results for a geometry-optimized LiCrPO4 structure. Values from VASP.

## Properties
The offset from the most stable computed form comes out at 0.017 eV per atom. As for the magnetic moment: 4.00 μB/f.u. As for the symmetry: Pnma (62).

The structure in Quantum ESPRESSO input format:
```
&SYSTEM
  ibrav = 0, nat = 28, ntyp = 4
/
ATOMIC_SPECIES
Li 6.94 Li.upf
Cr 52.00 Cr.upf
P 30.97 P.upf
O 16.00 O.upf
CELL_PARAMETERS angstrom
9.2430 0.0000 0.0000
0.0000 6.4775 0.0000
0.0000 0.0000 5.0669
ATOMIC_POSITIONS angstrom
Li 1.5204 1.6194 0.1728
Li 3.1011 4.8581 2.7063
Li 6.1419 1.6194 2.3606
Li 7.7226 4.8581 4.8941
Cr 0.0000 0.0000 2.5334
Cr 0.0000 3.2387 2.5334
Cr 4.6215 0.0000 0.0000
Cr 4.6215 3.2387 0.0000
P 1.6934 4.8581 0.1890
P 2.9281 1.6194 2.7225
P 6.3150 4.8581 2.3444
P 7.5496 1.6194 4.8779
O 1.1275 3.5809 0.8535
O 1.1275 6.1353 0.8535
O 1.3545 1.6194 3.0075
O 1.3855 4.8581 3.7459
O 3.2361 1.6194 1.2124
O 3.2670 4.8581 0.4741
O 3.4940 0.3421 3.3870
O 3.4940 2.8966 3.3870
O 5.7490 3.5809 1.6799
O 5.7490 6.1353 1.6799
O 5.9761 1.6194 4.5928
O 6.0070 4.8581 3.8545
O 7.8576 1.6194 1.3210
O 7.8885 4.8581 2.0594
O 8.1155 0.3421 4.2134
O 8.1155 2.8966 4.2134
```